1.
meta-GGA SCAN Ca2Bi, PBEsol geometry; calculated total energy = -200.83 eV per cell; space-group type = I4/mmm (139)
1.0
-2.394 2.394 8.421
2.394 -2.394 8.421
2.394 2.394 -8.421
Ca Bi
4 2
direct
0.000 0.500 0.500
0.174 0.174 0.000
0.500 0.000 0.500
0.826 0.826 0.000
0.363 0.363 0.000
0.637 0.637 0.000


2.
meta-GGA SCAN CaBi3, PBEsol geometry; calculated total energy = -247.05 eV per cell; space-group type = Pm-3m (221)
1.0
4.919 0.000 0.000
0.000 4.919 0.000
0.000 0.000 4.919
Ca Bi
1 3
direct
0.000 0.000 0.000
0.000 0.500 0.500
0.500 0.000 0.500
0.500 0.500 0.000


3.
meta-GGA SCAN Ca3CdBi, PBEsol geometry; calculated total energy = -138.79 eV per cell; space-group type = Pm-3m (221)
1.0
5.679 0.000 0.000
0.000 5.679 0.000
0.000 0.000 5.679
Ca Cd Bi
3 1 1
direct
0.000 0.000 0.500
0.000 0.500 0.000
0.500 0.000 0.000
0.000 0.000 0.000
0.500 0.500 0.500


4.
meta-GGA SCAN CaCd2Bi2, PBEsol geometry; calculated total energy = -228.71 eV per cell; space-group type = I4/mmm (139)
1.0
-2.489 2.489 6.039
2.489 -2.489 6.039
2.489 2.489 -6.039
Ca Cd Bi
1 2 2
direct
0.000 0.000 0.000
0.391 0.391 0.000
0.609 0.609 0.000
0.250 0.750 0.500
0.750 0.250 0.500


5.
meta-GGA SCAN CaCdBi2, PBEsol geometry; calculated total energy = -397.37 eV per cell; space-group type = I-42d (122)
1.0
-4.249 4.249 3.286
4.249 -4.249 3.286
4.249 4.249 -3.286
Ca Cd Bi
2 2 4
direct
0.000 0.000 0.000
0.750 0.250 0.500
0.250 0.750 0.500
0.500 0.500 0.000
0.160 0.125 0.535
0.375 0.840 0.965
0.590 0.625 0.465
0.875 0.410 0.035


6.
meta-GGA SCAN CaCd2Bi2, PBEsol geometry; calculated total energy = -229.07 eV per cell; space-group type = I4/mmm (139)
1.0
-2.175 2.175 7.585
2.175 -2.175 7.585
2.175 2.175 -7.585
Ca Cd Bi
1 2 2
direct
0.000 0.000 0.000
0.250 0.750 0.500
0.750 0.250 0.500
0.391 0.391 0.000
0.609 0.609 0.000


7.
meta-GGA SCAN CaCdBi2P, PBEsol geometry; calculated total energy = -207.44 eV per cell; space-group type = P4/mmm (123)
1.0
5.422 0.000 0.000
0.000 5.422 0.000
0.000 0.000 5.244
Ca Cd Bi P
1 1 2 1
direct
0.000 0.000 0.000
0.500 0.500 0.000
0.000 0.500 0.500
0.500 0.000 0.500
0.000 0.000 0.500


8.
meta-GGA SCAN CaBiICl2, PBEsol geometry; calculated total energy = -141.48 eV per cell; E_form (uncorrected) = -10.4 kJ/mol of atoms; space-group type = P4/mmm (123)
1.0
5.285 0.000 0.000
0.000 5.285 0.000
0.000 0.000 6.392
Ca Bi I Cl
1 1 1 2
direct
0.000 0.000 0.000
0.500 0.500 0.000
0.000 0.000 0.500
0.000 0.500 0.500
0.500 0.000 0.500


9.
meta-GGA SCAN CaCoBi3, PBEsol geometry; calculated total energy = -262.48 eV per cell; space-group type = Pm-3m (221)
1.0
5.166 0.000 0.000
0.000 5.166 0.000
0.000 0.000 5.166
Ca Co Bi
1 1 3
direct
0.000 0.000 0.000
0.500 0.500 0.500
0.000 0.500 0.500
0.500 0.000 0.500
0.500 0.500 0.000


10.
meta-GGA SCAN CaCrBi2, PBEsol geometry; calculated total energy = -372.10 eV per cell; space-group type = I-42d (122)
1.0
-4.092 4.092 3.255
4.092 -4.092 3.255
4.092 4.092 -3.255
Ca Cr Bi
2 2 4
direct
0.000 0.000 0.000
0.750 0.250 0.500
0.250 0.750 0.500
0.500 0.500 0.000
0.165 0.125 0.540
0.375 0.835 0.960
0.585 0.625 0.460
0.875 0.415 0.040


11.
meta-GGA SCAN CsCa3Bi, PBEsol geometry; calculated total energy = -140.83 eV per cell; space-group type = Pm-3m (221)
1.0
5.674 0.000 0.000
0.000 5.674 0.000
0.000 0.000 5.674
Cs Ca Bi
1 3 1
direct
0.000 0.000 0.000
0.000 0.000 0.500
0.000 0.500 0.000
0.500 0.000 0.000
0.500 0.500 0.500


12.
meta-GGA SCAN CsCa2Bi2, PBEsol geometry; calculated total energy = -436.25 eV per cell; space-group type = P4/mbm (127)
1.0
9.556 0.000 0.000
0.000 9.556 0.000
0.000 0.000 3.699
Cs Ca Bi
2 4 4
direct
0.000 0.000 0.000
0.500 0.500 0.000
0.131 0.369 0.000
0.369 0.869 0.000
0.631 0.131 0.000
0.869 0.631 0.000
0.163 0.663 0.500
0.337 0.163 0.500
0.663 0.837 0.500
0.837 0.337 0.500


13.
meta-GGA SCAN CaCu2HgBi, PBEsol geometry; calculated total energy = -185.20 eV per cell; space-group type = P4/mmm (123)
1.0
4.811 0.000 0.000
0.000 4.811 0.000
0.000 0.000 5.477
Ca Cu Hg Bi
1 2 1 1
direct
0.000 0.000 0.000
0.000 0.500 0.500
0.500 0.000 0.500
0.000 0.000 0.500
0.500 0.500 0.000


14.
meta-GGA SCAN Sr2CaCu2Bi2IO8, PBEsol geometry; calculated total energy = -712.09 eV per cell; E_form (uncorrected) = -166.9 kJ/mol of atoms; space-group type = Pmna (53)
1.0
5.109 0.000 0.000
0.000 18.638 0.000
0.000 0.000 5.410
Sr Ca Cu Bi I O
4 2 4 4 2 16
direct
0.000 0.184 0.005
0.000 0.816 0.995
0.500 0.184 0.495
0.500 0.816 0.505
0.000 0.000 0.000
0.500 0.000 0.500
0.000 0.085 0.500
0.000 0.915 0.500
0.500 0.085 0.000
0.500 0.915 0.000
0.000 0.334 0.528
0.000 0.666 0.472
0.500 0.334 0.972
0.500 0.666 0.028
0.000 0.500 0.000
0.500 0.500 0.500
0.000 0.224 0.469
0.000 0.319 0.917
0.000 0.681 0.083
0.000 0.776 0.531
0.250 0.083 0.250
0.250 0.086 0.750
0.250 0.914 0.250
0.250 0.917 0.750
0.500 0.224 0.031
0.500 0.319 0.583
0.500 0.681 0.417
0.500 0.776 0.969
0.750 0.083 0.250
0.750 0.086 0.750
0.750 0.914 0.250
0.750 0.917 0.750


15.
meta-GGA SCAN CaCu3Bi4O12, PBEsol geometry; calculated total energy = -465.92 eV per cell; E_form (uncorrected) = -104.0 kJ/mol of atoms; space-group type = Im-3 (204)
1.0
-4.052 4.052 4.052
4.052 -4.052 4.052
4.052 4.052 -4.052
Ca Cu Bi O
1 3 4 12
direct
0.000 0.000 0.000
0.000 0.500 0.500
0.500 0.000 0.500
0.500 0.500 0.000
0.000 0.000 0.500
0.000 0.500 0.000
0.500 0.000 0.000
0.500 0.500 0.500
0.154 0.321 0.475
0.154 0.679 0.833
0.167 0.846 0.321
0.321 0.167 0.846
0.321 0.475 0.154
0.475 0.154 0.321
0.525 0.846 0.679
0.679 0.525 0.846
0.679 0.833 0.154
0.833 0.154 0.679
0.846 0.321 0.167
0.846 0.679 0.525


16.
meta-GGA SCAN CaBiF5, PBEsol geometry; calculated total energy = -512.08 eV per cell; energy above the most stable polymorph in this dataset = 0 meV/atom; E_form (uncorrected) = -304.3 kJ/mol of atoms; space-group type = P2_1/c (14)
1.0
4.897 0.000 0.000
0.000 11.130 0.000
-0.037 0.000 7.323
Ca Bi F
4 4 20
direct
0.031 0.017 0.250
0.031 0.483 0.750
0.969 0.517 0.250
0.969 0.983 0.750
0.459 0.250 0.004
0.459 0.250 0.504
0.541 0.750 0.496
0.541 0.750 0.996
0.171 0.230 0.250
0.171 0.270 0.750
0.196 0.083 0.523
0.196 0.084 0.979
0.196 0.416 0.479
0.196 0.417 0.023
0.346 0.633 0.749
0.346 0.867 0.249
0.360 0.625 0.253
0.360 0.875 0.753
0.640 0.125 0.247
0.640 0.375 0.747
0.654 0.133 0.751
0.654 0.367 0.251
0.804 0.583 0.977
0.804 0.584 0.521
0.804 0.916 0.021
0.804 0.917 0.477
0.829 0.730 0.250
0.829 0.770 0.750


17.
meta-GGA SCAN CaBiF5, PBEsol geometry; calculated total energy = -254.62 eV per cell; energy above the most stable polymorph in this dataset = 101 meV/atom; E_form (uncorrected) = -294.5 kJ/mol of atoms; space-group type = C2/c (15)
1.0
4.855 -3.533 0.000
4.855 3.533 0.000
-3.543 0.000 7.551
Ca Bi F
2 2 10
direct
0.029 0.971 0.750
0.971 0.029 0.250
0.500 0.500 0.000
0.500 0.500 0.500
0.173 0.800 0.044
0.200 0.827 0.456
0.218 0.280 0.366
0.280 0.218 0.866
0.366 0.634 0.750
0.634 0.366 0.250
0.720 0.782 0.134
0.782 0.720 0.634
0.800 0.173 0.544
0.827 0.200 0.956


18.
meta-GGA SCAN CaBiN2F, PBEsol geometry; calculated total energy = -111.49 eV per cell; E_form (uncorrected) = -21.8 kJ/mol of atoms; space-group type = P4/mmm (123)
1.0
4.290 0.000 0.000
0.000 4.290 0.000
0.000 0.000 4.384
Ca Bi N F
1 1 2 1
direct
0.000 0.000 0.000
0.500 0.500 0.500
0.000 0.500 0.500
0.500 0.000 0.500
0.500 0.500 0.000


19.
meta-GGA SCAN CaZrBi2F, PBEsol geometry; calculated total energy = -205.57 eV per cell; E_form (uncorrected) = -87.0 kJ/mol of atoms; space-group type = P4/mmm (123)
1.0
5.316 0.000 0.000
0.000 5.316 0.000
0.000 0.000 4.182
Ca Zr Bi F
1 1 2 1
direct
0.000 0.000 0.000
0.500 0.500 0.000
0.000 0.500 0.500
0.500 0.000 0.500
0.000 0.000 0.500


20.
meta-GGA SCAN CaFeHg2Bi, PBEsol geometry; calculated total energy = -239.08 eV per cell; space-group type = P4/mmm (123)
1.0
5.615 0.000 0.000
0.000 5.615 0.000
0.000 0.000 5.997
Ca Fe Hg Bi
1 1 2 1
direct
0.000 0.000 0.000
0.500 0.500 0.000
0.000 0.500 0.500
0.500 0.000 0.500
0.000 0.000 0.500